[1]
DFT (meta-GGA SCAN) results for a PBEsol-optimized structure of MnCr2W.

Unit cell a=2.891 b=2.891 c=5.812 alpha=90.00 beta=90.00 gamma=90.00
Positions (direct):
1 Mn 0.000 0.000 0.000
2 Cr 0.000 0.000 0.528
3 Cr 0.500 0.500 0.753
4 W 0.500 0.500 0.256

Results
The crystal system is tetragonal. Its energy above the lowest structure with this stoichiometry is 122.1 meV/atom. For the final energy, the calculation gives -124.32 eV per formula unit. The formation energy is 0.098 eV per atom. The calculation puts the total magnetization at 0.000 μB/atom.


[2]
DFT (meta-GGA SCAN) results for a PBEsol-optimized structure of K6Na14Tl18Zn.

Unit cell a=10.485 b=10.485 c=10.485 alpha=90.00 beta=90.00 gamma=90.00
Positions (direct):
1 K 0.000 0.189 0.500
2 K 0.000 0.811 0.500
3 K 0.189 0.500 0.000
4 K 0.500 0.000 0.189
5 K 0.500 0.000 0.811
6 K 0.811 0.500 0.000
7 Na 0.000 0.500 0.332
8 Na 0.000 0.500 0.668
9 Na 0.281 0.281 0.281
10 Na 0.281 0.281 0.719
11 Na 0.281 0.719 0.281
12 Na 0.281 0.719 0.719
13 Na 0.332 0.000 0.500
14 Na 0.500 0.332 0.000
15 Na 0.500 0.668 0.000
16 Na 0.668 0.000 0.500
17 Na 0.719 0.281 0.281
18 Na 0.719 0.281 0.719
19 Na 0.719 0.719 0.281
20 Na 0.719 0.719 0.719
21 Tl 0.000 0.252 0.153
22 Tl 0.000 0.252 0.847
23 Tl 0.000 0.748 0.153
24 Tl 0.000 0.748 0.847
25 Tl 0.153 0.000 0.252
26 Tl 0.153 0.000 0.748
27 Tl 0.252 0.153 0.000
28 Tl 0.252 0.847 0.000
29 Tl 0.279 0.500 0.500
30 Tl 0.500 0.279 0.500
31 Tl 0.500 0.500 0.279
32 Tl 0.500 0.500 0.721
33 Tl 0.500 0.721 0.500
34 Tl 0.721 0.500 0.500
35 Tl 0.748 0.153 0.000
36 Tl 0.748 0.847 0.000
37 Tl 0.847 0.000 0.252
38 Tl 0.847 0.000 0.748
39 Zn 0.000 0.000 0.000

Results
The crystal system is cubic. For the final energy, the calculation gives -1434.14 eV per formula unit. The formation energy is -0.236 eV per atom. The calculation puts the total magnetization at 0.000 μB/atom.


[3]
DFT (meta-GGA SCAN) results for a PBEsol-optimized structure of Na6V2B4SO16.

Unit cell a=9.819 b=9.819 c=9.819 alpha=60.00 beta=60.00 gamma=60.00
Positions (direct):
1 Na 0.095 0.095 0.655
2 Na 0.095 0.655 0.095
3 Na 0.095 0.655 0.655
4 Na 0.345 0.345 0.905
5 Na 0.345 0.905 0.345
6 Na 0.345 0.905 0.905
7 Na 0.655 0.095 0.095
8 Na 0.655 0.095 0.655
9 Na 0.655 0.655 0.095
10 Na 0.905 0.345 0.345
11 Na 0.905 0.345 0.905
12 Na 0.905 0.905 0.345
13 V 0.000 0.500 0.500
14 V 0.500 0.000 0.500
15 V 0.500 0.500 0.000
16 V 0.500 0.500 0.500
17 B 0.288 0.288 0.288
18 B 0.288 0.288 0.636
19 B 0.288 0.636 0.288
20 B 0.364 0.712 0.712
21 B 0.636 0.288 0.288
22 B 0.712 0.364 0.712
23 B 0.712 0.712 0.364
24 B 0.712 0.712 0.712
25 S 0.125 0.125 0.125
26 S 0.875 0.875 0.875
27 O 0.063 0.063 0.063
28 O 0.063 0.063 0.311
29 O 0.063 0.311 0.063
30 O 0.132 0.325 0.640
31 O 0.132 0.404 0.325
32 O 0.132 0.640 0.404
33 O 0.311 0.063 0.063
34 O 0.325 0.132 0.404
35 O 0.325 0.404 0.640
36 O 0.325 0.640 0.132
37 O 0.360 0.596 0.868
38 O 0.360 0.675 0.596
39 O 0.360 0.868 0.675
40 O 0.404 0.132 0.640
41 O 0.404 0.325 0.132
42 O 0.404 0.640 0.325
43 O 0.596 0.360 0.675
44 O 0.596 0.675 0.868
45 O 0.596 0.868 0.360
46 O 0.640 0.132 0.325
47 O 0.640 0.325 0.404
48 O 0.640 0.404 0.132
49 O 0.675 0.360 0.868
50 O 0.675 0.596 0.360
51 O 0.675 0.868 0.596
52 O 0.689 0.937 0.937
53 O 0.868 0.360 0.596
54 O 0.868 0.596 0.675
55 O 0.868 0.675 0.360
56 O 0.937 0.689 0.937
57 O 0.937 0.937 0.689
58 O 0.937 0.937 0.937

Results
The crystal system is cubic. For the final energy, the calculation gives -268.64 eV per formula unit. For the formation energy (no corrections), the calculation gives -2.39 eV per atom. The calculation puts the total magnetization at 0.069 μB/atom.


[4]
DFT (meta-GGA SCAN) results for a PBEsol-optimized structure of AlFe2Sb.

Unit cell a=3.926 b=4.959 c=4.959 alpha=37.31 beta=90.00 gamma=90.00
Positions (direct):
1 Al 0.000 0.000 0.000
2 Fe 0.000 0.713 0.713
3 Fe 0.500 0.580 0.580
4 Sb 0.500 0.306 0.306

Results
The crystal system is orthorhombic. Its energy above the lowest structure with this stoichiometry is 0.0 meV/atom. For the final energy, the calculation gives -80.97 eV per formula unit. For the formation energy (no corrections), the calculation gives 0.08 eV per atom. The calculation puts the total magnetization at 1.003 μB/atom.


[5]
DFT (meta-GGA SCAN) results for a PBEsol-optimized structure of MnFe.

Unit cell a=2.432 b=2.432 c=3.470 alpha=90.00 beta=90.00 gamma=90.00
Positions (direct):
1 Mn 0.000 0.000 0.000
2 Fe 0.500 0.500 0.500

Results
The crystal system is tetragonal. For the final energy, the calculation gives -36.26 eV per formula unit. The formation energy is 0.065 eV per atom. The calculation puts the total magnetization at 0.043 μB/atom.


[6]
DFT (meta-GGA SCAN) results for a PBEsol-optimized structure of TlAg2BiPt.

Unit cell a=5.045 b=5.045 c=5.034 alpha=90.00 beta=90.00 gamma=90.00
Positions (direct):
1 Tl 0.000 0.000 0.000
2 Ag 0.000 0.500 0.000
3 Ag 0.500 0.000 0.000
4 Bi 0.500 0.500 0.500
5 Pt 0.000 0.000 0.500

Results
The crystal system is tetragonal. For the final energy, the calculation gives -279.87 eV per formula unit. The formation energy is 0.798 eV per atom. The calculation puts the total magnetization at 0.000 μB/atom.


[7]
DFT (meta-GGA SCAN) results for a PBEsol-optimized structure of TlReAuO2.

Unit cell a=3.984 b=3.984 c=5.322 alpha=90.00 beta=90.00 gamma=90.00
Positions (direct):
1 Tl 0.000 0.000 0.000
2 Re 0.500 0.500 0.000
3 Au 0.500 0.500 0.500
4 O 0.000 0.500 0.500
5 O 0.500 0.000 0.500

Results
The crystal system is tetragonal. For the final energy, the calculation gives -220.12 eV per formula unit. For the formation energy (no corrections), the calculation gives 0.99 eV per atom. The calculation puts the total magnetization at 0.700 μB/atom.


[8]
DFT (meta-GGA SCAN) results for a PBEsol-optimized structure of DyTe3.

Unit cell a=12.899 b=12.899 c=4.272 alpha=90.00 beta=90.00 gamma=160.95
Positions (direct):
1 Dy 0.170 0.830 0.750
2 Dy 0.830 0.170 0.250
3 Te 0.073 0.927 0.250
4 Te 0.294 0.706 0.750
5 Te 0.427 0.573 0.250
6 Te 0.573 0.427 0.750
7 Te 0.706 0.294 0.250
8 Te 0.927 0.073 0.750

Results
The crystal system is orthorhombic. For the final energy, the calculation gives -163.63 eV per formula unit. For the formation energy (no corrections), the calculation gives -1.02 eV per atom. The calculation puts the total magnetization at 0.000 μB/atom.


[9]
DFT (meta-GGA SCAN) results for a PBEsol-optimized structure of SrCd2Cu.

Unit cell a=4.404 b=4.404 c=4.888 alpha=90.00 beta=90.00 gamma=90.00
Positions (direct):
1 Sr 0.000 0.000 0.000
2 Cd 0.000 0.500 0.500
3 Cd 0.500 0.000 0.500
4 Cu 0.500 0.500 0.000

Results
The crystal system is tetragonal. For the final energy, the calculation gives -98.11 eV per formula unit. The formation energy is 0.048 eV per atom. The calculation puts the total magnetization at 0.000 μB/atom.


[10]
DFT (meta-GGA SCAN) results for a PBEsol-optimized structure of BaTl2Si.

Unit cell a=4.478 b=4.478 c=6.068 alpha=90.00 beta=90.07 gamma=90.00
Positions (direct):
1 Ba 0.000 0.000 0.000
2 Tl 0.001 0.500 0.513
3 Tl 0.501 0.000 0.513
4 Si 0.500 0.500 0.200

Results
The crystal system is monoclinic. Its energy above the lowest structure with this stoichiometry is 0.0 meV/atom. For the final energy, the calculation gives -194.99 eV per formula unit. For the formation energy (no corrections), the calculation gives -0.18 eV per atom. The calculation puts the total magnetization at 0.000 μB/atom.


[11]
DFT (meta-GGA SCAN) results for a PBEsol-optimized structure of Li2NiRu.

Unit cell a=5.031 b=5.031 c=2.462 alpha=102.83 beta=102.83 gamma=120.57
Positions (direct):
1 Li 0.000 0.500 0.000
2 Li 0.500 0.000 0.000
3 Ni 0.000 0.000 0.500
4 Ru 0.500 0.500 0.500

Results
The crystal system is monoclinic. Its energy above the lowest structure with this stoichiometry is 4.4 meV/atom. For the final energy, the calculation gives -55.59 eV per formula unit. The formation energy is 0.048 eV per atom. The calculation puts the total magnetization at 0.187 μB/atom.


[12]
DFT (meta-GGA SCAN) results for a PBEsol-optimized structure of GeSe2S.

Unit cell a=8.035 b=8.035 c=8.035 alpha=26.82 beta=26.82 gamma=26.82
Positions (direct):
1 Ge 0.000 0.000 0.000
2 Se 0.400 0.400 0.400
3 Se 0.600 0.600 0.600
4 S 0.500 0.500 0.500

Results
The crystal system is trigonal. For the final energy, the calculation gives -68.02 eV per formula unit. For the formation energy (no corrections), the calculation gives 0.21 eV per atom. The calculation puts the total magnetization at 0.000 μB/atom.


Repeat the twelfth record exactly.
DFT (meta-GGA SCAN) results for a PBEsol-optimized structure of GeSe2S.

Unit cell a=8.035 b=8.035 c=8.035 alpha=26.82 beta=26.82 gamma=26.82
Positions (direct):
1 Ge 0.000 0.000 0.000
2 Se 0.400 0.400 0.400
3 Se 0.600 0.600 0.600
4 S 0.500 0.500 0.500

Results
The crystal system is trigonal. For the final energy, the calculation gives -68.02 eV per formula unit. For the formation energy (no corrections), the calculation gives 0.21 eV per atom. The calculation puts the total magnetization at 0.000 μB/atom.


Which of these has the highest total magnetization?
AlFe2Sb


Repeat the tenth record exactly.
DFT (meta-GGA SCAN) results for a PBEsol-optimized structure of BaTl2Si.

Unit cell a=4.478 b=4.478 c=6.068 alpha=90.00 beta=90.07 gamma=90.00
Positions (direct):
1 Ba 0.000 0.000 0.000
2 Tl 0.001 0.500 0.513
3 Tl 0.501 0.000 0.513
4 Si 0.500 0.500 0.200

Results
The crystal system is monoclinic. Its energy above the lowest structure with this stoichiometry is 0.0 meV/atom. For the final energy, the calculation gives -194.99 eV per formula unit. For the formation energy (no corrections), the calculation gives -0.18 eV per atom. The calculation puts the total magnetization at 0.000 μB/atom.


What did the tenth record say?
DFT (meta-GGA SCAN) results for a PBEsol-optimized structure of BaTl2Si.

Unit cell a=4.478 b=4.478 c=6.068 alpha=90.00 beta=90.07 gamma=90.00
Positions (direct):
1 Ba 0.000 0.000 0.000
2 Tl 0.001 0.500 0.513
3 Tl 0.501 0.000 0.513
4 Si 0.500 0.500 0.200

Results
The crystal system is monoclinic. Its energy above the lowest structure with this stoichiometry is 0.0 meV/atom. For the final energy, the calculation gives -194.99 eV per formula unit. For the formation energy (no corrections), the calculation gives -0.18 eV per atom. The calculation puts the total magnetization at 0.000 μB/atom.